Density functional theory data (PBE-GGA) for an optimized crystal structure of Ge2Se3.

Results
**Total energy**: -120.67 eV per cell
**Crystal system**: trigonal
**Energy relative to the elements, uncorrected**: -0.085 eV per atom
**E above lowest polymorph**: 10.7 kJ/mol of atoms

Lattice parameters (Å, degrees): 6.7256 6.7256 18.3605 90.00 90.00 120.00
Space group R-3c (No. 167, hexagonal axes)
Symmetry-distinct sites (fractional):
1 Ge 0.0000 0.0000 0.1558 x12
2 Se 0.0000 0.3116 0.2500 x18